SbPd2Br: optimized geometry, PBE.

abc: 4.8004 4.8004 4.8004
angles: 60.00 60.00 60.00
Sites, in units of the cell vectors:
Sb  0.5000  0.5000  0.5000
Br  0.0000  0.0000  0.0000
Pd  0.2500  0.2500  0.2500
Pd  0.7500  0.7500  0.7500

Crystal system   cubic
Symmetry   Fm-3m
Relative energy among the computed polymorphs   86 meV/atom
Energy relative to the elements, uncorrected   3.4 meV per atom

UPd3: optimized geometry, PBE.

abc: 4.6868 4.6868 4.6868
angles: 60.00 60.00 60.00
Sites, in units of the cell vectors:
U  0.5000  0.5000  0.5000
Pd  0.0000  0.0000  0.0000
Pd  0.7500  0.7500  0.7500
Pd  0.2500  0.2500  0.2500

Crystal system   cubic
Energy of formation from the pure elements   -334.8 meV per atom
Symmetry   Fm-3m

SrTa2Pt: optimized geometry, PBE.

abc: 5.0205 5.0205 3.0829
angles: 90.00 90.00 90.00
Sites, in units of the cell vectors:
Pt  0.5000  0.0000  0.5000
Sr  0.0000  0.5000  0.5000
Ta  0.0000  0.0000  0.0000
Ta  0.5000  0.5000  0.0000

Crystal system   tetragonal
Energy of formation from the pure elements   783.0 meV per atom
Symmetry   P4/mmm
Relative energy among the computed polymorphs   729 meV/atom

La4IrBr2N: optimized geometry, PBE.

abc: 3.9563 7.0724 8.1259
angles: 107.59 90.00 90.00
Sites, in units of the cell vectors:
La  0.5000  0.2025  0.1857
La  0.5000  0.7975  0.8143
La  0.0000  0.2498  0.8067
La  0.0000  0.7502  0.1933
Ir  0.5000  0.5000  0.0000
Br  0.5000  0.0000  0.5000
Br  0.0000  0.5000  0.5000
N  0.0000  0.0000  0.0000

Crystal system   monoclinic
Symmetry   P2/m
Energy relative to the elements, uncorrected   -1255.1 meV per atom

| no. | raw total energy (hartree per atom) |
| --- | --- |
| 1 | -0.14854 |
| 2 | -0.25914 |
| 3 | -0.25996 |
| 4 | -0.23098 |